Compound: UTl3Fe2O9
Source: Alexandria via LeMat-Bulk
Functional: PBE+U
Structure: relaxed

Cell lengths 5.7533, 5.7533, 7.2144 Å; angles 90.00, 90.00, 120.00 degrees
Closest atoms and distances in Å follow each position.
Positions (direct):
U  0.0000  0.0000  0.5000  6 O 2.08
Tl  0.3333  0.6667  0.7355  3 O 2.53
Tl  0.0000  0.0000  0.0000  12 O 2.88-2.90
Tl  0.6667  0.3333  0.2645  3 O 2.53
Fe  0.3333  0.6667  0.1682  6 O 2.01-2.06
Fe  0.6667  0.3333  0.8318  6 O 2.01-2.06
O  0.8322  0.1678  0.6716  1 Fe 2.01, 1 U 2.08
O  0.8322  0.6644  0.6716  1 Fe 2.01, 1 U 2.08
O  0.3356  0.1678  0.6716  1 Fe 2.01, 1 U 2.08
O  0.6644  0.8322  0.3284  1 Fe 2.01, 1 U 2.08
O  0.1678  0.3356  0.3284  1 Fe 2.01, 1 U 2.08
O  0.1678  0.8322  0.3284  1 Fe 2.01, 1 U 2.08
O  0.5000  0.0000  0.0000  2 Fe 2.06
O  0.0000  0.5000  0.0000  2 Fe 2.06
O  0.5000  0.5000  0.0000  2 Fe 2.06

Results
- Total DFT energy (no corrections): -0.469 Ry per atom